# 1
LaPm6Pr2Y3: relaxed, PBE-GGA.

Cell lengths 6.333, 6.333, 12.090 Å; angles 95.02, 95.02, 120.03 degrees
Fractional positions:
La 0.000 0.000 0.000
Pm 0.085 0.419 0.254
Pm 0.249 0.249 0.745
Pm 0.419 0.085 0.254
Pm 0.581 0.915 0.746
Pm 0.751 0.751 0.255
Pm 0.915 0.581 0.746
Pr 0.333 0.667 0.000
Pr 0.667 0.333 0.000
Y 0.167 0.833 0.500
Y 0.500 0.500 0.500
Y 0.833 0.167 0.500

Values from the calculation:
Electronic total energy   -5.182 eV per atom
Space-group type   C2/m, No. 12
Crystal system   monoclinic
Energy of formation from the pure elements   0.4 kcal/mol of atoms



# 2
La2PmPr2Y: relaxed, PBE-GGA.

Cell lengths 7.201, 5.833, 10.084 Å; angles 90.00, 90.00, 90.00 degrees
Fractional positions:
La 0.000 0.000 0.000
La 0.250 0.500 0.174
La 0.500 0.000 0.000
La 0.750 0.500 0.826
Pm 0.250 0.000 0.660
Pm 0.750 0.000 0.340
Pr 0.250 0.000 0.333
Pr 0.250 0.500 0.835
Pr 0.750 0.000 0.667
Pr 0.750 0.500 0.165
Y 0.000 0.500 0.500
Y 0.500 0.500 0.500

Values from the calculation:
Electronic total energy   -5.062 eV per atom
Space-group type   Pmma, No. 51
Crystal system   orthorhombic
Energy of formation from the pure elements   1.0 kcal/mol of atoms



Let's list ρ in order: 6256; 6221 kg/m3.